# 1
VASP calculation (PBE) on an optimized crystal structure of Pm3SmSc2Se6.

- N(E_F) (states/eV/atom) = 0.49
- raw formation energy (kJ/mol of formula units) = -2010.2
- space-group type = C2/m

a b c (Å): 7.057 7.057 7.138
angles (deg): 99.47 99.47 120.19
Fractional coordinates of all 12 atoms:
Pm: 0.000 0.000 0.000
Pm: 0.342 0.658 0.000
Pm: 0.658 0.342 0.000
Sm: 0.500 0.500 0.500
Sc: 0.165 0.835 0.500
Sc: 0.835 0.165 0.500
Se: 0.074 0.423 0.266
Se: 0.227 0.227 0.727
Se: 0.423 0.074 0.266
Se: 0.577 0.926 0.734
Se: 0.773 0.773 0.273
Se: 0.926 0.577 0.734

=====

# 2
VASP calculation (PBE) on an optimized crystal structure of Sr2SbW.

- N(E_F) (states/eV/atom) = 0.85
- raw formation energy (kJ/mol of formula units) = 222.4
- space-group type = P4/mmm

a b c (Å): 5.065 5.065 4.642
angles (deg): 90.00 90.00 90.00
Fractional coordinates of all 4 atoms:
Sr: 0.000 0.500 0.000
Sr: 0.500 0.000 0.000
Sb: 0.000 0.000 0.500
W: 0.500 0.500 0.500

=====

# 3
VASP calculation (PBE) on an optimized crystal structure of CaNdCdGe.

- N(E_F) (states/eV/atom) = 0.95
- calculated formation energy (eV per atom) = -0.462
- space-group type = F-43m

a b c (Å): 5.294 5.294 5.294
angles (deg): 60.00 60.00 60.00
Fractional coordinates of all 4 atoms:
Ca: 0.000 0.000 0.000
Nd: 0.500 0.500 0.500
Cd: 0.750 0.750 0.750
Ge: 0.250 0.250 0.250

=====

# 4
VASP calculation (PBE) on an optimized crystal structure of SrTcIO4.

- raw formation energy (kJ/mol of formula units) = -1202.7
- space-group type = C2/m

a b c (Å): 6.933 6.933 8.902
angles (deg): 109.60 109.60 66.85
Fractional coordinates of all 14 atoms:
Sr: 0.212 0.212 0.193
Sr: 0.788 0.788 0.807
Tc: 0.399 0.399 0.713
Tc: 0.601 0.601 0.287
I: 0.074 0.074 0.796
I: 0.926 0.926 0.204
O: 0.163 0.533 0.783
O: 0.336 0.336 0.499
O: 0.437 0.437 0.209
O: 0.467 0.837 0.217
O: 0.533 0.163 0.783
O: 0.563 0.563 0.791
O: 0.664 0.664 0.501
O: 0.837 0.467 0.217

=====

# 5
VASP calculation (PBE) on an optimized crystal structure of ZrTeBrN2.

- N(E_F) (states/eV/atom) = 0.87
- energy relative to the lowest polymorph listed for this composition (eV/atom) = 0.0000
- raw formation energy (kJ/mol of formula units) = 215.6
- space-group type = P4/mmm

a b c (Å): 4.204 4.204 6.302
angles (deg): 90.00 90.00 90.00
Fractional coordinates of all 5 atoms:
Zr: 0.000 0.000 0.000
Te: 0.000 0.000 0.500
Br: 0.500 0.500 0.500
N: 0.000 0.500 0.000
N: 0.500 0.000 0.000

=====

# 6
VASP calculation (PBE) on an optimized crystal structure of Y2Fe2Co.

- N(E_F) (states/eV/atom) = 0.97
- calculated formation energy (eV per atom) = 0.090
- space-group type = P4/mbm

a b c (Å): 6.445 6.445 4.335
angles (deg): 90.00 90.00 90.00
Fractional coordinates of all 10 atoms:
Y: 0.181 0.319 0.000
Y: 0.319 0.819 0.000
Y: 0.681 0.181 0.000
Y: 0.819 0.681 0.000
Fe: 0.128 0.628 0.500
Fe: 0.372 0.128 0.500
Fe: 0.628 0.872 0.500
Fe: 0.872 0.372 0.500
Co: 0.000 0.000 0.500
Co: 0.500 0.500 0.500

=====

# 7
VASP calculation (PBE) on an optimized crystal structure of Zn2CrTc.

- N(E_F) (states/eV/atom) = 0.70
- calculated formation energy (eV per atom) = 0.138
- energy relative to the lowest polymorph listed for this composition (eV/atom) = 0.0991
- space-group type = Imm2

a b c (Å): 4.852 4.852 4.852
angles (deg): 142.14 127.12 66.86
Fractional coordinates of all 4 atoms:
Zn: 0.000 0.000 0.000
Zn: 0.750 0.250 0.500
Cr: 0.488 0.488 0.000
Tc: 0.268 0.768 0.500

=====

# 8
VASP calculation (PBE) on an optimized crystal structure of BaSbAsI2.

- N(E_F) (states/eV/atom) = 0.50
- energy relative to the lowest polymorph listed for this composition (eV/atom) = 0.0000
- raw formation energy (kJ/mol of formula units) = -206.4
- space-group type = P4/mmm

a b c (Å): 5.748 5.748 5.645
angles (deg): 90.00 90.00 90.00
Fractional coordinates of all 5 atoms:
Ba: 0.000 0.000 0.000
Sb: 0.500 0.500 0.000
As: 0.500 0.500 0.500
I: 0.000 0.500 0.500
I: 0.500 0.000 0.500

=====

# 9
VASP calculation (PBE) on an optimized crystal structure of Sm3HoTm12.

- N(E_F) (states/eV/atom) = 1.37
- calculated formation energy (eV per atom) = 0.026
- space-group type = P4/mmm

a b c (Å): 4.970 4.970 19.898
angles (deg): 90.00 90.00 90.00
Fractional coordinates of all 16 atoms:
Sm: 0.000 0.000 0.000
Sm: 0.000 0.000 0.251
Sm: 0.000 0.000 0.749
Ho: 0.000 0.000 0.500
Tm: 0.000 0.500 0.126
Tm: 0.000 0.500 0.376
Tm: 0.000 0.500 0.624
Tm: 0.000 0.500 0.874
Tm: 0.500 0.000 0.126
Tm: 0.500 0.000 0.376
Tm: 0.500 0.000 0.624
Tm: 0.500 0.000 0.874
Tm: 0.500 0.500 0.000
Tm: 0.500 0.500 0.251
Tm: 0.500 0.500 0.500
Tm: 0.500 0.500 0.749

=====

# 10
VASP calculation (PBE) on an optimized crystal structure of Nb2GaFe3.

- N(E_F) (states/eV/atom) = 0.74
- calculated formation energy (eV per atom) = -0.251
- energy relative to the lowest polymorph listed for this composition (eV/atom) = 0.0000
- space-group type = P6_3/mmc

a b c (Å): 4.876 4.876 8.029
angles (deg): 90.00 90.00 120.00
Fractional coordinates of all 12 atoms:
Nb: 0.333 0.667 0.065
Nb: 0.333 0.667 0.435
Nb: 0.667 0.333 0.565
Nb: 0.667 0.333 0.935
Ga: 0.000 0.000 0.000
Ga: 0.000 0.000 0.500
Fe: 0.173 0.346 0.750
Fe: 0.173 0.827 0.750
Fe: 0.346 0.173 0.250
Fe: 0.654 0.827 0.750
Fe: 0.827 0.173 0.250
Fe: 0.827 0.654 0.250

=====

# 11
VASP calculation (PBE) on an optimized crystal structure of YP.

- N(E_F) (states/eV/atom) = 0.04
- calculated formation energy (eV per atom) = -1.339
- space-group type = I4/mcm

a b c (Å): 7.277 7.277 7.277
angles (deg): 98.51 98.51 134.77
Fractional coordinates of all 8 atoms:
Y: 0.144 0.644 0.788
Y: 0.356 0.144 0.500
Y: 0.644 0.856 0.500
Y: 0.856 0.356 0.212
P: 0.149 0.351 0.500
P: 0.351 0.851 0.202
P: 0.649 0.149 0.798
P: 0.851 0.649 0.500

=====

# 12
VASP calculation (PBE) on an optimized crystal structure of Tm2ZnIr.

- N(E_F) (states/eV/atom) = 0.64
- calculated formation energy (eV per atom) = -0.686
- energy relative to the lowest polymorph listed for this composition (eV/atom) = 0.0000
- space-group type = Fm-3m

a b c (Å): 4.857 4.857 4.857
angles (deg): 60.00 60.00 60.00
Fractional coordinates of all 4 atoms:
Tm: 0.250 0.250 0.250
Tm: 0.750 0.750 0.750
Zn: 0.000 0.000 0.000
Ir: 0.500 0.500 0.500

=====

# 13
VASP calculation (PBE) on an optimized crystal structure of Tb6Pm2SmTm3.

- N(E_F) (states/eV/atom) = 1.32
- calculated formation energy (eV per atom) = 0.019
- space-group type = C2/m

a b c (Å): 6.171 6.171 11.800
angles (deg): 94.99 94.99 119.97
Fractional coordinates of all 12 atoms:
Tb: 0.085 0.418 0.754
Tb: 0.248 0.248 0.246
Tb: 0.418 0.085 0.754
Tb: 0.582 0.915 0.246
Tb: 0.752 0.752 0.754
Tb: 0.915 0.582 0.246
Pm: 0.333 0.667 0.500
Pm: 0.667 0.333 0.500
Sm: 0.000 0.000 0.500
Tm: 0.167 0.833 0.000
Tm: 0.500 0.500 0.000
Tm: 0.833 0.167 0.000

=====

# 14
VASP calculation (PBE) on an optimized crystal structure of Ac2SmPt.

- N(E_F) (states/eV/atom) = 1.11
- calculated formation energy (eV per atom) = -0.502
- energy relative to the lowest polymorph listed for this composition (eV/atom) = 0.0000
- space-group type = Cm

a b c (Å): 4.047 4.047 10.556
angles (deg): 101.06 101.06 59.91
Fractional coordinates of all 4 atoms:
Ac: 0.000 0.000 0.000
Ac: 0.556 0.556 0.671
Sm: 0.121 0.121 0.363
Pt: 0.398 0.398 0.196

=====

# 15
VASP calculation (PBE) on an optimized crystal structure of Pr4GeTe2.

- N(E_F) (states/eV/atom) = 0.57
- raw formation energy (kJ/mol of formula units) = -685.2
- space-group type = R-3m

a b c (Å): 14.610 14.610 14.610
angles (deg): 17.16 17.16 17.16
Fractional coordinates of all 7 atoms:
Pr: 0.128 0.128 0.128
Pr: 0.368 0.368 0.368
Pr: 0.632 0.632 0.632
Pr: 0.872 0.872 0.872
Ge: 0.500 0.500 0.500
Te: 0.253 0.253 0.253
Te: 0.747 0.747 0.747

=====

# 16
VASP calculation (PBE) on an optimized crystal structure of CaMnCo2.

- N(E_F) (states/eV/atom) = 1.30
- calculated formation energy (eV per atom) = 0.548
- energy relative to the lowest polymorph listed for this composition (eV/atom) = 0.3527
- space-group type = I-4m2

a b c (Å): 5.022 5.022 5.022
angles (deg): 134.76 134.76 65.91
Fractional coordinates of all 4 atoms:
Ca: 0.000 0.000 0.000
Mn: 0.750 0.250 0.500
Co: 0.250 0.750 0.500
Co: 0.500 0.500 0.000

=====

# 17
VASP calculation (PBE) on an optimized crystal structure of DyY3Os.

- N(E_F) (states/eV/atom) = 1.12
- calculated formation energy (eV per atom) = -0.144
- space-group type = C2/m

a b c (Å): 7.299 7.299 8.020
angles (deg): 123.32 123.32 72.65
Fractional coordinates of all 10 atoms:
Dy: 0.055 0.055 0.257
Dy: 0.945 0.945 0.743
Y: 0.053 0.443 0.794
Y: 0.443 0.053 0.794
Y: 0.445 0.445 0.649
Y: 0.555 0.555 0.351
Y: 0.557 0.947 0.206
Y: 0.947 0.557 0.206
Os: 0.249 0.249 0.125
Os: 0.751 0.751 0.875